(1)
## LiBrF (PBE)

Data for a relaxed LiBrF crystal.

abc: 2.7994 2.7994 7.0190
angles: 90.00 90.00 90.00
With the nearest neighbours (Å) after each atom.
Atoms (fractional coordinates):
Li1 0.5000 0.5000 0.5000  4 F 1.98
Br1 0.5000 0.5000 0.0000  4 Br 2.80
F1 0.0000 0.0000 0.5000  4 Li 1.98

Properties
DOS(E_F): 0.172 states/eV per atom
Energy relative to the elements, uncorrected: -1793 meV/atom
SG: No. 123



(2)
## LiBr3F (PBE)

Data for a relaxed LiBr3F crystal.

abc: 4.9130 4.9130 4.9130
angles: 90.00 90.00 90.00
With the nearest neighbours (Å) after each atom.
Atoms (fractional coordinates):
F1 0.5000 0.5000 0.5000  12 Br 3.47
Li1 0.0000 0.0000 0.0000  6 Br 2.46
Br1 0.0000 0.5000 0.0000  2 Li 2.46
Br2 0.5000 0.0000 0.0000  2 Li 2.46
Br3 0.0000 0.0000 0.5000  2 Li 2.46

Properties
DOS(E_F): 2.007 states/eV per atom
Energy relative to the elements, uncorrected: -145 meV/atom
SG: No. 221



(3)
## LiBr2F6 (PBE)

Data for a relaxed LiBr2F6 crystal.

abc: 6.3435 7.1185 7.1185
angles: 71.50 80.63 80.63
With the nearest neighbours (Å) after each atom.
Atoms (fractional coordinates):
Br1 0.2419 0.5953 0.9031  2 F 1.89-1.96
F1 0.7329 0.2008 0.3909  2 Br 2.13-2.15
F2 0.6070 0.9864 0.8290  1 Br 1.96, 1 Li 2.08
F3 0.8930 0.1710 0.0136  1 Br 1.96, 1 Li 2.08
F4 0.7671 0.6090 0.7992  2 Br 2.13-2.15
F5 0.2671 0.7992 0.6091  2 Br 2.13-2.15
F6 0.3930 0.0136 0.1710  1 Br 1.96, 1 Li 2.08
F7 0.3600 0.3684 0.8222  1 Br 1.89, 1 Li 2.08
Br2 0.7420 0.9031 0.5953  2 F 1.89-1.96
F8 0.2329 0.3910 0.2008  2 Br 2.13-2.15
Br3 0.2580 0.0969 0.4047  2 F 1.89-1.96
Li1 0.2500 0.0896 0.9104  6 F 2.08-2.30
Br4 0.7581 0.4047 0.0969  2 F 1.89-1.96
F9 0.6400 0.6316 0.1778  1 Br 1.89, 1 Li 2.08
Li2 0.7500 0.9104 0.0896  6 F 2.08-2.30
F10 0.1400 0.1779 0.6316  1 Br 1.89, 1 Li 2.08
F11 0.1070 0.8290 0.9864  1 Br 1.96, 1 Li 2.08
F12 0.8600 0.8221 0.3684  1 Br 1.89, 1 Li 2.08

Properties
DOS(E_F): 0.319 states/eV per atom
Energy relative to the elements, uncorrected: -1236 meV/atom
SG: No. 15



(4)
## LiBr3F12 (PBE)

Data for a relaxed LiBr3F12 crystal.

abc: 10.1164 10.1164 5.4433
angles: 90.00 90.00 120.00
With the nearest neighbours (Å) after each atom.
Atoms (fractional coordinates):
F1 0.2378 0.7720 0.5000  1 Br 2.03, 1 Li 2.23
F2 0.7622 0.2280 0.5000  1 Br 2.03, 1 Li 2.23
F3 0.2378 0.7720 0.0000  1 Br 2.03, 1 Li 2.23
F4 0.9163 0.1233 0.2500  1 Br 1.84
F5 0.8767 0.7930 0.2500  1 Br 1.84
F6 0.5026 0.4871 0.2500  1 Br 1.82
F7 0.4871 0.9845 0.7500  1 Br 1.82
F8 0.5129 0.0155 0.2500  1 Br 1.82
Br1 0.9395 0.6506 0.2500  4 F 1.82-2.03
Br2 0.0605 0.3494 0.7500  4 F 1.82-2.03
Li1 0.3333 0.6667 0.2500  6 F 2.23
Li2 0.6667 0.3333 0.7500  6 F 2.23
Br3 0.6506 0.7111 0.7500  4 F 1.82-2.03
F9 0.7720 0.5342 0.5000  1 Br 2.03, 1 Li 2.23
F10 0.2280 0.4658 0.0000  1 Br 2.03, 1 Li 2.23
F11 0.4658 0.2378 0.0000  1 Br 2.03, 1 Li 2.23
F12 0.0155 0.5026 0.7500  1 Br 1.82
F13 0.5342 0.7622 0.0000  1 Br 2.03, 1 Li 2.23
Br4 0.7111 0.0605 0.2500  4 F 1.82-2.03
F14 0.7720 0.5342 0.0000  1 Br 2.03, 1 Li 2.23
Br5 0.3494 0.2889 0.2500  4 F 1.82-2.03
F15 0.4974 0.5129 0.7500  1 Br 1.82
F16 0.0837 0.8767 0.7500  1 Br 1.84
Br6 0.2889 0.9395 0.7500  4 F 1.82-2.03
F17 0.9845 0.4974 0.2500  1 Br 1.82
F18 0.2070 0.0837 0.2500  1 Br 1.84
F19 0.2280 0.4658 0.5000  1 Br 2.03, 1 Li 2.23
F20 0.1233 0.2070 0.7500  1 Br 1.84
F21 0.7622 0.2280 0.0000  1 Br 2.03, 1 Li 2.23
F22 0.4658 0.2378 0.5000  1 Br 2.03, 1 Li 2.23
F23 0.5342 0.7622 0.5000  1 Br 2.03, 1 Li 2.23
F24 0.7930 0.9163 0.7500  1 Br 1.84

Properties
DOS(E_F): 0.273 states/eV per atom
Energy relative to the elements, uncorrected: -892 meV/atom
SG: No. 176



(5)
## LiBr3F (PBE)

Data for a relaxed LiBr3F crystal.

abc: 5.0041 5.0041 5.0041
angles: 90.00 90.00 90.00
With the nearest neighbours (Å) after each atom.
Atoms (fractional coordinates):
Li1 0.5000 0.5000 0.5000  12 Br 3.54
Br1 0.5000 0.0000 0.0000  2 F 2.50
F1 0.0000 0.0000 0.0000  6 Br 2.50
Br2 0.0000 0.5000 0.0000  2 F 2.50
Br3 0.0000 0.0000 0.5000  2 F 2.50

Properties
DOS(E_F): 0.660 states/eV per atom
Energy relative to the elements, uncorrected: -233 meV/atom
SG: No. 221



(6)
## Li2MgBrF (PBE)

Data for a relaxed Li2MgBrF crystal.

abc: 4.9262 4.1384 4.9262
angles: 90.00 90.00 90.00
With the nearest neighbours (Å) after each atom.
Atoms (fractional coordinates):
Li1 0.0000 0.0000 0.5000  2 F 2.46
Mg1 0.0000 0.5000 0.0000  2 F 2.07
F1 0.0000 0.0000 0.0000  2 Mg 2.07
Br1 0.5000 0.5000 0.5000  8 Li 3.22, 4 Mg 3.48
Li2 0.5000 0.0000 0.0000  2 F 2.46

Properties
DOS(E_F): 0.154 states/eV per atom
Energy relative to the elements, uncorrected: -1193 meV/atom
SG: No. 123